[1]
# La6CoIr2Pd GGA-PBE optimized geometry
# formation energy	-0.522	eV per atom
data_La6CoIr2Pd
_chemical_formula_sum 'La18 Co3 Ir6 Pd3'
_symmetry_space_group_name_H-M 'R 3'
_symmetry_Int_Tables_number 146
_symmetry_space_group_name_Hall 'R 3'
_cell_length_a 7.2012
_cell_length_b 7.2012
_cell_length_c 19.9085
_cell_angle_alpha 90.00
_cell_angle_beta 90.00
_cell_angle_gamma 120.00
loop_
_atom_site_label
_atom_site_type_symbol
_atom_site_fract_x
_atom_site_fract_y
_atom_site_fract_z
La1 La 0.0028 0.6559 0.0000
La2 La 0.0161 0.3388 0.1617
Co1 Co 0.0000 0.0000 0.4094
Ir1 Ir 0.0000 0.0000 0.2469
Ir2 Ir 0.0000 0.0000 0.7532
Pd1 Pd 0.0000 0.0000 0.9111

***

[2]
# Y2MnZn GGA-PBE optimized geometry
# formation energy	-0.077	eV per atom
data_Y2MnZn
_chemical_formula_sum 'Y2 Mn1 Zn1'
_symmetry_space_group_name_H-M 'P m m m'
_symmetry_Int_Tables_number 47
_symmetry_space_group_name_Hall '-P 2 2'
_cell_length_a 3.520
_cell_length_b 3.606
_cell_length_c 7.161
_cell_angle_alpha 90.00
_cell_angle_beta 90.00
_cell_angle_gamma 90.00
loop_
_atom_site_label
_atom_site_type_symbol
_atom_site_fract_x
_atom_site_fract_y
_atom_site_fract_z
Y1 Y 0.000 0.000 0.246
Mn1 Mn 0.500 0.500 0.000
Zn1 Zn 0.500 0.500 0.500

***

[3]
# NaScTl GGA-PBE optimized geometry
# formation energy	0.049	eV per atom
# E above lowest polymorph	7.5	meV/atom
data_NaScTl
_chemical_formula_sum 'Na2 Sc2 Tl2'
_symmetry_space_group_name_H-M 'I 4 m m'
_symmetry_Int_Tables_number 107
_symmetry_space_group_name_Hall 'I 4 -2'
_cell_length_a 3.359
_cell_length_b 3.359
_cell_length_c 14.385
_cell_angle_alpha 90.00
_cell_angle_beta 90.00
_cell_angle_gamma 90.00
loop_
_atom_site_label
_atom_site_type_symbol
_atom_site_fract_x
_atom_site_fract_y
_atom_site_fract_z
Na1 Na 0.000 0.000 0.000
Sc1 Sc 0.000 0.000 0.696
Tl1 Tl 0.000 0.000 0.334

***

[4]
# ZnAgN GGA-PBE optimized geometry
# uncorrected formation energy	13.4	kcal/mol of atoms
data_ZnAgN
_chemical_formula_sum 'Zn2 Ag2 N2'
_symmetry_space_group_name_H-M 'C 1 m 1'
_symmetry_Int_Tables_number 8
_symmetry_space_group_name_Hall 'C -2y'
_cell_length_a 9.025
_cell_length_b 2.944
_cell_length_c 3.062
_cell_angle_alpha 90.00
_cell_angle_beta 90.13
_cell_angle_gamma 90.00
loop_
_atom_site_label
_atom_site_type_symbol
_atom_site_fract_x
_atom_site_fract_y
_atom_site_fract_z
Zn1 Zn 0.000 0.000 0.000
Ag1 Ag 0.258 0.000 0.502
N1 N 0.015 0.500 0.500

***

[5]
# Nd4SmHo5 GGA-PBE optimized geometry
# formation energy	0.192	eV per atom
# E above lowest polymorph	174.6	meV/atom
data_Nd4SmHo5
_chemical_formula_sum 'Nd8 Sm2 Ho10'
_symmetry_space_group_name_H-M 'C 1 2/m 1'
_symmetry_Int_Tables_number 12
_symmetry_space_group_name_Hall '-C 2y'
_cell_length_a 17.216
_cell_length_b 3.542
_cell_length_c 11.282
_cell_angle_alpha 90.00
_cell_angle_beta 90.14
_cell_angle_gamma 90.00
loop_
_atom_site_label
_atom_site_type_symbol
_atom_site_fract_x
_atom_site_fract_y
_atom_site_fract_z
Nd1 Nd 0.032 0.000 0.249
Nd2 Nd 0.157 0.500 0.750
Sm1 Sm 0.000 0.500 0.500
Ho1 Ho 0.000 0.500 0.000
Ho2 Ho 0.173 0.000 0.048
Ho3 Ho 0.174 0.000 0.449

***

[6]
# KAgSe GGA-PBE optimized geometry
# uncorrected formation energy	-15.9	kcal/mol of atoms
data_KAgSe
_chemical_formula_sum 'K1 Ag1 Se1'
_symmetry_space_group_name_H-M 'P -6 m 2'
_symmetry_Int_Tables_number 187
_symmetry_space_group_name_Hall 'P -6 2'
_cell_length_a 4.5536
_cell_length_b 4.5536
_cell_length_c 4.8117
_cell_angle_alpha 90.00
_cell_angle_beta 90.00
_cell_angle_gamma 120.00
loop_
_atom_site_label
_atom_site_type_symbol
_atom_site_fract_x
_atom_site_fract_y
_atom_site_fract_z
K1 K 0.0000 0.0000 0.0000
Ag1 Ag 0.3333 0.6667 0.5000
Se1 Se 0.6667 0.3333 0.5000

***

[7]
# BaScAs2Br GGA-PBE optimized geometry
# uncorrected formation energy	9.6	kcal/mol of atoms
# E above lowest polymorph	1480.5	meV/atom
data_BaScAs2Br
_chemical_formula_sum 'Ba1 Sc1 As2 Br1'
_symmetry_space_group_name_H-M 'P 4/m m m'
_symmetry_Int_Tables_number 123
_symmetry_space_group_name_Hall '-P 4 2'
_cell_length_a 5.745
_cell_length_b 5.745
_cell_length_c 5.859
_cell_angle_alpha 90.00
_cell_angle_beta 90.00
_cell_angle_gamma 90.00
loop_
_atom_site_label
_atom_site_type_symbol
_atom_site_fract_x
_atom_site_fract_y
_atom_site_fract_z
Ba1 Ba 0.000 0.000 0.000
Sc1 Sc 0.500 0.500 0.500
As1 As 0.000 0.500 0.000
Br1 Br 0.000 0.000 0.500

***

[8]
# Na2CeBe2O6 GGA-PBE optimized geometry
# uncorrected formation energy	-47.1	kcal/mol of atoms
data_Na2CeBe2O6
_chemical_formula_sum 'Na2 Ce1 Be2 O6'
_symmetry_space_group_name_H-M 'P -3'
_symmetry_Int_Tables_number 147
_symmetry_space_group_name_Hall '-P 3'
_cell_length_a 5.4431
_cell_length_b 5.4431
_cell_length_c 6.0706
_cell_angle_alpha 90.00
_cell_angle_beta 90.00
_cell_angle_gamma 120.00
loop_
_atom_site_label
_atom_site_type_symbol
_atom_site_fract_x
_atom_site_fract_y
_atom_site_fract_z
Na1 Na 0.3333 0.6667 0.3714
Ce1 Ce 0.0000 0.0000 0.0000
Be1 Be 0.3333 0.6667 0.8173
O1 O 0.0722 0.3718 0.7903

***

[9]
# Ba3LaHf GGA-PBE optimized geometry
# formation energy	1.273	eV per atom
data_Ba3LaHf
_chemical_formula_sum 'Ba3 La1 Hf1'
_symmetry_space_group_name_H-M 'P m -3 m'
_symmetry_Int_Tables_number 221
_symmetry_space_group_name_Hall '-P 4 2 3'
_cell_length_a 6.282
_cell_length_b 6.282
_cell_length_c 6.282
_cell_angle_alpha 90.00
_cell_angle_beta 90.00
_cell_angle_gamma 90.00
loop_
_atom_site_label
_atom_site_type_symbol
_atom_site_fract_x
_atom_site_fract_y
_atom_site_fract_z
Ba1 Ba 0.000 0.000 0.500
La1 La 0.000 0.000 0.000
Hf1 Hf 0.500 0.500 0.500

***

[10]
# CeErSc5 GGA-PBE optimized geometry
# formation energy	0.210	eV per atom
data_CeErSc5
_chemical_formula_sum 'Ce4 Er4 Sc20'
_symmetry_space_group_name_H-M 'C 1 2/c 1'
_symmetry_Int_Tables_number 15
_symmetry_space_group_name_Hall '-C 2yc'
_cell_length_a 10.610
_cell_length_b 11.752
_cell_length_c 6.417
_cell_angle_alpha 90.00
_cell_angle_beta 108.76
_cell_angle_gamma 90.00
loop_
_atom_site_label
_atom_site_type_symbol
_atom_site_fract_x
_atom_site_fract_y
_atom_site_fract_z
Ce1 Ce 0.250 0.250 0.000
Er1 Er 0.000 0.151 0.250
Sc1 Sc 0.000 0.112 0.750
Sc2 Sc 0.034 0.371 0.534
Sc3 Sc 0.250 0.030 0.640

***

[11]
# Dy6Tl2SbTe3 GGA-PBE optimized geometry
# uncorrected formation energy	-21.8	kcal/mol of atoms
data_Dy6Tl2SbTe3
_chemical_formula_sum 'Dy12 Tl4 Sb2 Te6'
_symmetry_space_group_name_H-M 'C 1 2/m 1'
_symmetry_Int_Tables_number 12
_symmetry_space_group_name_Hall '-C 2y'
_cell_length_a 19.403
_cell_length_b 4.287
_cell_length_c 8.957
_cell_angle_alpha 90.00
_cell_angle_beta 107.03
_cell_angle_gamma 90.00
loop_
_atom_site_label
_atom_site_type_symbol
_atom_site_fract_x
_atom_site_fract_y
_atom_site_fract_z
Dy1 Dy 0.005 0.000 0.246
Dy2 Dy 0.164 0.500 0.595
Dy3 Dy 0.166 0.500 0.096
Tl1 Tl 0.172 0.000 0.351
Sb1 Sb 0.000 0.500 0.000
Te1 Te 0.000 0.500 0.500
Te2 Te 0.164 0.000 0.844

***

[12]
# Zr2BeAu GGA-PBE optimized geometry
# formation energy	0.169	eV per atom
data_Zr2BeAu
_chemical_formula_sum 'Zr8 Be4 Au4'
_symmetry_space_group_name_H-M 'F -4 3 m'
_symmetry_Int_Tables_number 216
_symmetry_space_group_name_Hall 'F -4 2 3'
_cell_length_a 6.676
_cell_length_b 6.676
_cell_length_c 6.676
_cell_angle_alpha 90.00
_cell_angle_beta 90.00
_cell_angle_gamma 90.00
loop_
_atom_site_label
_atom_site_type_symbol
_atom_site_fract_x
_atom_site_fract_y
_atom_site_fract_z
Zr1 Zr 0.000 0.000 0.000
Zr2 Zr 0.250 0.250 0.250
Be1 Be 0.000 0.000 0.500
Au1 Au 0.250 0.250 0.750

***

[13]
# Sb2TePO GGA-PBE optimized geometry
# uncorrected formation energy	8.9	kcal/mol of atoms
# E above lowest polymorph	0.0	meV/atom
data_Sb2TePO
_chemical_formula_sum 'Sb2 Te1 P1 O1'
_symmetry_space_group_name_H-M 'P 4/m m m'
_symmetry_Int_Tables_number 123
_symmetry_space_group_name_Hall '-P 4 2'
_cell_length_a 4.709
_cell_length_b 4.709
_cell_length_c 4.936
_cell_angle_alpha 90.00
_cell_angle_beta 90.00
_cell_angle_gamma 90.00
loop_
_atom_site_label
_atom_site_type_symbol
_atom_site_fract_x
_atom_site_fract_y
_atom_site_fract_z
Sb1 Sb 0.000 0.500 0.000
Te1 Te 0.000 0.000 0.500
P1 P 0.500 0.500 0.500
O1 O 0.000 0.000 0.000

***

[14]
# Pr3TlPt GGA-PBE optimized geometry
# formation energy	-0.485	eV per atom
# E above lowest polymorph	25.9	meV/atom
data_Pr3TlPt
_chemical_formula_sum 'Pr12 Tl4 Pt4'
_symmetry_space_group_name_H-M 'C m c m'
_symmetry_Int_Tables_number 63
_symmetry_space_group_name_Hall '-C 2c 2'
_cell_length_a 3.906
_cell_length_b 16.248
_cell_length_c 10.371
_cell_angle_alpha 90.00
_cell_angle_beta 90.00
_cell_angle_gamma 90.00
loop_
_atom_site_label
_atom_site_type_symbol
_atom_site_fract_x
_atom_site_fract_y
_atom_site_fract_z
Pr1 Pr 0.000 0.123 0.250
Pr2 Pr 0.000 0.341 0.072
Tl1 Tl 0.000 0.000 0.000
Pt1 Pt 0.000 0.245 0.750

***

[15]
# Y2RePb GGA-PBE optimized geometry
# formation energy	0.264	eV per atom
data_Y2RePb
_chemical_formula_sum 'Y8 Re4 Pb4'
_symmetry_space_group_name_H-M 'F -4 3 m'
_symmetry_Int_Tables_number 216
_symmetry_space_group_name_Hall 'F -4 2 3'
_cell_length_a 7.123
_cell_length_b 7.123
_cell_length_c 7.123
_cell_angle_alpha 90.00
_cell_angle_beta 90.00
_cell_angle_gamma 90.00
loop_
_atom_site_label
_atom_site_type_symbol
_atom_site_fract_x
_atom_site_fract_y
_atom_site_fract_z
Y1 Y 0.000 0.000 0.000
Y2 Y 0.250 0.250 0.250
Re1 Re 0.250 0.250 0.750
Pb1 Pb 0.000 0.000 0.500

***

[16]
# Sr2WAu GGA-PBE optimized geometry
# formation energy	0.852	eV per atom
# E above lowest polymorph	345.4	meV/atom
data_Sr2WAu
_chemical_formula_sum 'Sr8 W4 Au4'
_symmetry_space_group_name_H-M 'F -4 3 m'
_symmetry_Int_Tables_number 216
_symmetry_space_group_name_Hall 'F -4 2 3'
_cell_length_a 7.470
_cell_length_b 7.470
_cell_length_c 7.470
_cell_angle_alpha 90.00
_cell_angle_beta 90.00
_cell_angle_gamma 90.00
loop_
_atom_site_label
_atom_site_type_symbol
_atom_site_fract_x
_atom_site_fract_y
_atom_site_fract_z
Sr1 Sr 0.000 0.000 0.000
Sr2 Sr 0.250 0.250 0.250
W1 W 0.250 0.250 0.750
Au1 Au 0.000 0.000 0.500

***

[17]
# ScTl2Ga GGA-PBE optimized geometry
# formation energy	-0.152	eV per atom
# E above lowest polymorph	0.0	meV/atom
data_ScTl2Ga
_chemical_formula_sum 'Sc1 Tl2 Ga1'
_symmetry_space_group_name_H-M 'P 4/m m m'
_symmetry_Int_Tables_number 123
_symmetry_space_group_name_Hall '-P 4 2'
_cell_length_a 4.514
_cell_length_b 4.514
_cell_length_c 4.526
_cell_angle_alpha 90.00
_cell_angle_beta 90.00
_cell_angle_gamma 90.00
loop_
_atom_site_label
_atom_site_type_symbol
_atom_site_fract_x
_atom_site_fract_y
_atom_site_fract_z
Sc1 Sc 0.000 0.000 0.000
Tl1 Tl 0.000 0.500 0.500
Ga1 Ga 0.500 0.500 0.000

***

[18]
# Rb2Ge2O5 GGA-PBE optimized geometry
# uncorrected formation energy	-37.6	kcal/mol of atoms
# E above lowest polymorph	111.3	meV/atom
data_Rb2Ge2O5
_chemical_formula_sum 'Rb4 Ge4 O10'
_symmetry_space_group_name_H-M 'C 1 2/m 1'
_symmetry_Int_Tables_number 12
_symmetry_space_group_name_Hall '-C 2y'
_cell_length_a 10.407
_cell_length_b 3.913
_cell_length_c 7.426
_cell_angle_alpha 90.00
_cell_angle_beta 99.58
_cell_angle_gamma 90.00
loop_
_atom_site_label
_atom_site_type_symbol
_atom_site_fract_x
_atom_site_fract_y
_atom_site_fract_z
Rb1 Rb 0.103 0.000 0.356
Ge1 Ge 0.148 0.500 0.904
O1 O 0.000 0.500 0.000
O2 O 0.123 0.500 0.669
O3 O 0.184 0.000 0.961

***

[19]
# BSbPO2 GGA-PBE optimized geometry
# uncorrected formation energy	10.2	kcal/mol of atoms
# E above lowest polymorph	390.8	meV/atom
data_BSbPO2
_chemical_formula_sum 'B1 Sb1 P1 O2'
_symmetry_space_group_name_H-M 'P 4/m m m'
_symmetry_Int_Tables_number 123
_symmetry_space_group_name_Hall '-P 4 2'
_cell_length_a 3.820
_cell_length_b 3.820
_cell_length_c 5.384
_cell_angle_alpha 90.00
_cell_angle_beta 90.00
_cell_angle_gamma 90.00
loop_
_atom_site_label
_atom_site_type_symbol
_atom_site_fract_x
_atom_site_fract_y
_atom_site_fract_z
B1 B 0.000 0.000 0.000
Sb1 Sb 0.500 0.500 0.500
P1 P 0.500 0.500 0.000
O1 O 0.000 0.500 0.500

***

[20]
# CdPN2F GGA-PBE optimized geometry
# uncorrected formation energy	35.0	kcal/mol of atoms
# E above lowest polymorph	1319.3	meV/atom
data_CdPN2F
_chemical_formula_sum 'Cd1 P1 N2 F1'
_symmetry_space_group_name_H-M 'P 4/m m m'
_symmetry_Int_Tables_number 123
_symmetry_space_group_name_Hall '-P 4 2'
_cell_length_a 4.374
_cell_length_b 4.374
_cell_length_c 4.237
_cell_angle_alpha 90.00
_cell_angle_beta 90.00
_cell_angle_gamma 90.00
loop_
_atom_site_label
_atom_site_type_symbol
_atom_site_fract_x
_atom_site_fract_y
_atom_site_fract_z
Cd1 Cd 0.000 0.000 0.000
P1 P 0.500 0.500 0.500
N1 N 0.000 0.500 0.000
F1 F 0.000 0.000 0.500